Below is crystalline Tb2ErTh3 at its relaxed geometry, with properties calculated at the PBE level.

Geometry as POSCAR:
```
Tb2ErTh3
1.0
-2.457 4.310 -4.529
3.929 -6.523 -8.340
-6.371 0.685 4.109
Er Th Tb
2 6 4
Direct
0.250 0.229 0.000
0.750 0.771 0.000
0.000 0.834 0.667
0.500 0.166 0.333
0.000 0.500 0.000
0.000 0.166 0.333
0.500 0.500 0.000
0.500 0.834 0.667
0.250 0.563 0.666
0.750 0.437 0.334
0.250 0.897 0.334
0.750 0.103 0.666
```

Properties
crystal system	orthorhombic
E_form	0.18	eV/atom
total energy	-5.830	eV/atom
E above lowest polymorph	153	meV/atom
calculated volume	387.3	Å³/cell

***

Below is crystalline Tb7Er16Th6 at its relaxed geometry, with properties calculated at the PBE level.

Geometry as POSCAR:
```
Tb7Er16Th6
1.0
9.537 0.000 5.506
3.179 8.991 5.506
0.000 0.000 11.012
Er Tb Th
16 7 6
Direct
0.120 0.120 0.639
0.976 0.341 0.341
0.341 0.976 0.341
0.120 0.639 0.120
0.880 0.361 0.880
0.880 0.880 0.361
0.639 0.120 0.120
0.341 0.341 0.341
0.659 0.024 0.659
0.024 0.659 0.659
0.659 0.659 0.659
0.880 0.880 0.880
0.361 0.880 0.880
0.120 0.120 0.120
0.341 0.341 0.976
0.659 0.659 0.024
0.500 0.000 0.000
0.000 0.500 0.500
0.000 0.500 0.000
0.000 0.000 0.000
0.500 0.000 0.500
0.500 0.500 0.000
0.000 0.000 0.500
0.331 0.669 0.669
0.669 0.669 0.331
0.669 0.331 0.669
0.669 0.331 0.331
0.331 0.669 0.331
0.331 0.331 0.669
```

Properties
crystal system	cubic
E_form	0.32	eV/atom
total energy	-4.853	eV/atom
calculated volume	944.3	Å³/cell

***

Below is crystalline Tb5Er2Th3 at its relaxed geometry, with properties calculated at the PBE level.

Geometry as POSCAR:
```
Tb5Er2Th3
1.0
4.918 0.000 1.091
1.835 4.808 3.357
-0.271 -0.898 12.851
Tb Th Er
5 3 2
Direct
0.801 0.998 0.400
0.000 0.000 0.000
0.301 0.500 0.899
0.699 0.500 0.101
0.199 0.002 0.600
0.099 0.503 0.300
0.901 0.497 0.700
0.500 0.500 0.500
0.597 0.008 0.798
0.403 0.992 0.202
```

Properties
crystal system	monoclinic
E_form	0.03	eV/atom
total energy	-5.419	eV/atom
calculated volume	318.3	Å³/cell